Model P:
Here is Pr2CdCo after structural relaxation from Alexandria via LeMat-Bulk. Energies are from PBE.

```
12
Lattice="4.015 0.000 0.000 -2.007 3.477 0.000 0.000 0.000 24.386" Properties=species:S:1:pos:R:3 pbc="T T T"
Pr 0.000 0.000 0.000
Pr 0.000 0.000 5.063
Pr 0.000 2.318 16.258
Pr 0.000 2.318 21.321
Pr 2.007 1.159 8.129
Pr 2.007 1.159 13.192
Cd 0.000 0.000 10.665
Cd 0.000 2.318 2.537
Cd 2.007 1.159 18.794
Co 0.000 0.000 14.703
Co 0.000 2.318 6.574
Co 2.007 1.159 22.832
```

Properties
The value obtained for the theoretical density is 6.63 Mg/m³.

Model Q:
Here is Pr2CdCo after structural relaxation from Alexandria via LeMat-Bulk. Energies are from PBE.

```
4
Lattice="3.570 0.000 0.000 0.000 3.570 0.000 0.000 0.000 7.983" Properties=species:S:1:pos:R:3 pbc="T T T"
Pr 0.000 0.000 1.709
Pr 0.000 0.000 6.274
Cd 1.785 1.785 3.992
Co 1.785 1.785 0.000
```

Properties
The value obtained for the theoretical density is 7.40 Mg/m³.

Model R:
Here is Pr2CdCo after structural relaxation from Alexandria via LeMat-Bulk. Energies are from PBE.

```
16
Lattice="7.429 0.000 0.000 0.000 7.429 0.000 0.000 0.000 7.429" Properties=species:S:1:pos:R:3 pbc="T T T"
Pr 1.857 1.857 1.857
Pr 1.857 1.857 5.572
Pr 1.857 5.572 1.857
Pr 1.857 5.572 5.572
Pr 5.572 1.857 1.857
Pr 5.572 1.857 5.572
Pr 5.572 5.572 1.857
Pr 5.572 5.572 5.572
Cd 0.000 0.000 0.000
Cd 0.000 3.714 3.714
Cd 3.714 0.000 3.714
Cd 3.714 3.714 0.000
Co 0.000 0.000 3.714
Co 0.000 3.714 0.000
Co 3.714 0.000 0.000
Co 3.714 3.714 3.714
```

Properties
The value obtained for the theoretical density is 7.34 Mg/m³.

Energy ordering: model Q at the bottom, the next structure 55 meV/atom above.

Model P:
Here is Pr2CdCo after structural relaxation from Alexandria via LeMat-Bulk. Energies are from PBE.

```
12
Lattice="3.933 0.000 0.000 -1.967 3.406 0.000 0.000 0.000 29.863" Properties=species:S:1:pos:R:3 pbc="T T T"
Pr 0.000 0.000 3.450
Pr 0.000 0.000 26.413
Pr 0.000 2.271 16.459
Pr 0.000 2.271 23.359
Pr 1.967 1.135 6.505
Pr 1.967 1.135 13.404
Cd 0.000 0.000 0.000
Cd 0.000 2.271 19.909
Cd 1.967 1.135 9.954
Co 0.000 0.000 14.932
Co 0.000 2.271 4.977
Co 1.967 1.135 24.886
```

Properties
The value obtained for the theoretical density is 5.64 Mg/m³.

Model Q:
Here is Pr2CdCo after structural relaxation from Alexandria via LeMat-Bulk. Energies are from PBE.

```
16
Lattice="13.150 0.000 0.000 0.000 3.742 0.000 -3.912 0.000 8.653" Properties=species:S:1:pos:R:3 pbc="T T T"
Pr 0.379 0.000 1.908
Pr -0.830 0.000 5.676
Pr 3.493 1.871 2.977
Pr 2.284 1.871 6.745
Pr 6.954 1.871 1.908
Pr 5.745 1.871 5.676
Pr 10.068 0.000 2.977
Pr 8.859 0.000 6.745
Cd -1.787 1.871 8.369
Cd 4.450 0.000 0.284
Cd 4.788 0.000 8.369
Cd 11.025 1.871 0.284
Co 0.716 1.871 4.133
Co 1.947 0.000 4.520
Co 7.291 0.000 4.133
Co 8.522 1.871 4.520
```

Properties
The value obtained for the theoretical density is 7.07 Mg/m³.

Energy ordering: model Q at the bottom, the next structure 236 meV/atom above.

Model P:
Here is Pr4CdCo after structural relaxation from Alexandria via LeMat-Bulk. Energies are from PBE.

```
24
Lattice="0.000 6.993 6.993 6.993 0.000 6.993 6.993 6.993 0.000" Properties=species:S:1:pos:R:3 pbc="T T T"
Pr 6.993 6.993 2.648
Pr 6.993 2.648 6.993
Pr 11.338 6.993 6.993
Pr 5.641 5.641 5.641
Pr 8.345 8.345 5.641
Pr 8.345 5.641 8.345
Pr 10.489 10.489 7.837
Pr 10.489 7.837 10.489
Pr 13.142 10.489 10.489
Pr 5.641 8.345 8.345
Pr 2.648 6.993 6.993
Pr 6.993 11.338 6.993
Pr 6.993 6.993 11.338
Pr 7.837 10.489 10.489
Pr 10.489 13.142 10.489
Pr 10.489 10.489 13.142
Cd 2.388 2.388 2.388
Cd 4.605 4.605 2.388
Cd 4.605 2.388 4.605
Cd 2.388 4.605 4.605
Co 8.519 5.467 5.467
Co 5.467 8.519 5.467
Co 5.467 5.467 8.519
Co 8.519 8.519 8.519
```

Properties
The value obtained for the theoretical density is 7.14 Mg/m³.

Model Q:
Here is Pr4CdCo after structural relaxation from Alexandria via LeMat-Bulk. Energies are from PBE.

```
12
Lattice="6.145 0.000 0.000 -1.787 8.161 0.000 -1.786 -4.095 7.066" Properties=species:S:1:pos:R:3 pbc="T T T"
Pr -0.843 2.291 2.102
Pr -0.932 6.005 1.385
Pr 0.432 -0.245 4.709
Pr 2.125 1.360 0.489
Pr 0.447 2.706 6.577
Pr 2.140 4.311 2.358
Pr 3.504 -1.939 5.682
Pr 3.415 1.775 4.965
Cd -1.143 4.644 4.377
Cd 3.715 -0.579 2.689
Co 0.642 4.052 0.016
Co 1.930 0.014 7.050
```

Properties
The value obtained for the theoretical density is 6.89 Mg/m³.

Energy ordering: model P at the bottom, the next structure 88 meV/atom above.

Model P:
Here is CdCo2Pt2 after structural relaxation from Alexandria via LeMat-Bulk. Energies are from PBE.

```
10
Lattice="3.492 0.000 0.000 0.000 3.492 0.000 0.000 0.000 13.024" Properties=species:S:1:pos:R:3 pbc="T T T"
Cd 0.000 0.000 0.000
Cd 1.746 1.746 6.512
Co 0.000 1.746 3.256
Co 0.000 1.746 9.768
Co 1.746 0.000 3.256
Co 1.746 0.000 9.768
Pt 0.000 0.000 5.118
Pt 0.000 0.000 7.906
Pt 1.746 1.746 1.394
Pt 1.746 1.746 11.630
```

Properties
The value obtained for the theoretical density is 12.97 Mg/m³.

Model Q:
Here is CdCo2Pt2 after structural relaxation from Alexandria via LeMat-Bulk. Energies are from PBE.

```
10
Lattice="3.895 0.000 0.000 0.000 3.895 0.000 0.000 0.000 10.684" Properties=species:S:1:pos:R:3 pbc="T T T"
Cd 0.000 0.000 0.000
Cd 1.947 1.947 5.342
Co 0.000 0.000 4.269
Co 0.000 0.000 6.415
Co 1.947 1.947 1.073
Co 1.947 1.947 9.611
Pt 0.000 1.947 2.671
Pt 0.000 1.947 8.013
Pt 1.947 0.000 2.671
Pt 1.947 0.000 8.013
```

Properties
The value obtained for the theoretical density is 12.72 Mg/m³.

Model R:
Here is CdCo2Pt2 after structural relaxation from Alexandria via LeMat-Bulk. Energies are from PBE.

```
10
Lattice="7.401 0.000 0.000 0.000 7.401 0.000 0.000 0.000 2.770" Properties=species:S:1:pos:R:3 pbc="T T T"
Cd 0.000 0.000 0.000
Cd 3.700 3.700 0.000
Co 0.849 2.851 0.000
Co 2.851 6.551 0.000
Co 4.550 0.849 0.000
Co 6.551 4.550 0.000
Pt 1.316 5.017 1.385
Pt 2.384 1.316 1.385
Pt 5.017 6.085 1.385
Pt 6.085 2.384 1.385
```

Properties
The value obtained for the theoretical density is 13.58 Mg/m³.

Model S:
Here is CdCo2Pt2 after structural relaxation from Alexandria via LeMat-Bulk. Energies are from PBE.

```
10
Lattice="7.457 0.000 0.000 0.000 7.457 0.000 0.000 0.000 2.763" Properties=species:S:1:pos:R:3 pbc="T T T"
Cd 0.000 0.000 0.000
Cd 3.728 3.728 0.000
Co 1.239 2.490 1.382
Co 2.490 6.218 1.382
Co 4.967 1.239 1.382
Co 6.218 4.967 1.382
Pt 0.976 4.704 0.000
Pt 2.753 0.976 0.000
Pt 4.704 6.481 0.000
Pt 6.481 2.753 0.000
```

Properties
The value obtained for the theoretical density is 13.41 Mg/m³.

Energy ordering: model R at the bottom, the next structure 35 meV/atom above.

Model P:
Here is CdCoPt4 after structural relaxation from Alexandria via LeMat-Bulk. Energies are from PBE.

```
6
Lattice="0.000 3.727 3.727 3.727 0.000 3.727 3.727 3.727 0.000" Properties=species:S:1:pos:R:3 pbc="T T T"
Cd 0.000 0.000 0.000
Co 5.590 5.590 5.590
Pt 2.796 2.796 2.796
Pt 4.657 4.657 2.796
Pt 4.657 2.796 4.657
Pt 2.796 4.657 4.657
```

Properties
The value obtained for the theoretical density is 15.27 Mg/m³.

Model Q:
Here is CdCoPt4 after structural relaxation from Alexandria via LeMat-Bulk. Energies are from PBE.

```
6
Lattice="2.799 0.000 0.000 0.000 2.799 0.000 0.000 0.000 11.868" Properties=species:S:1:pos:R:3 pbc="T T T"
Cd 0.000 0.000 0.000
Co 1.399 1.399 5.934
Pt 0.000 0.000 4.183
Pt 0.000 0.000 7.685
Pt 1.399 1.399 2.129
Pt 1.399 1.399 9.739
```

Properties
The value obtained for the theoretical density is 17.00 Mg/m³.

Energy ordering: model Q at the bottom, the next structure 278 meV/atom above.

Model P:
Here is Pu2CdCo after structural relaxation from Alexandria via LeMat-Bulk. Energies are from PBE.

```
4
Lattice="3.183 0.000 0.000 0.000 3.183 0.000 0.000 0.000 8.547" Properties=species:S:1:pos:R:3 pbc="T T T"
Pu 0.000 0.000 1.725
Pu 0.000 0.000 6.822
Cd 1.591 1.591 4.274
Co 1.591 1.591 0.000
```

Properties
The value obtained for the theoretical density is 12.65 Mg/m³.

Model Q:
Here is Pu2CdCo after structural relaxation from Alexandria via LeMat-Bulk. Energies are from PBE.

```
12
Lattice="2.922 0.000 0.000 -1.461 2.530 0.000 0.000 0.000 33.420" Properties=species:S:1:pos:R:3 pbc="T T T"
Pu 0.000 0.000 3.305
Pu 0.000 0.000 30.115
Pu 0.000 1.687 18.975
Pu 0.000 1.687 25.585
Pu 1.461 0.843 7.835
Pu 1.461 0.843 14.445
Cd 0.000 0.000 0.000
Cd 0.000 1.687 22.280
Cd 1.461 0.843 11.140
Co 0.000 0.000 16.710
Co 0.000 1.687 5.570
Co 1.461 0.843 27.850
```

Properties
The value obtained for the theoretical density is 13.29 Mg/m³.

Energy ordering: model P at the bottom, the next structure 423 meV/atom above.

Model P:
Here is RbCd2Co after structural relaxation from Alexandria via LeMat-Bulk. Energies are from PBE.

```
16
Lattice="5.756 0.000 0.000 0.000 5.756 0.000 0.000 0.000 17.293" Properties=species:S:1:pos:R:3 pbc="T T T"
Rb 0.000 1.439 6.485
Rb 0.000 4.317 10.808
Rb 2.878 1.439 2.162
Rb 2.878 4.317 15.131
Cd 0.000 0.000 0.000
Cd 0.000 2.878 0.000
Cd 1.439 1.439 12.970
Cd 1.439 4.317 4.323
Cd 2.878 0.000 8.647
Cd 2.878 2.878 8.647
Cd 4.317 1.439 12.970
Cd 4.317 4.317 4.323
Co 0.000 1.439 15.131
Co 0.000 4.317 2.162
Co 2.878 1.439 10.808
Co 2.878 4.317 6.485
```

Properties
The value obtained for the theoretical density is 4.28 Mg/m³.

Model Q:
Here is RbCd2Co after structural relaxation from Alexandria via LeMat-Bulk. Energies are from PBE.

```
16
Lattice="7.534 0.000 0.000 0.000 7.534 0.000 0.000 0.000 7.534" Properties=species:S:1:pos:R:3 pbc="T T T"
Rb 0.000 0.000 0.000
Rb 0.000 3.767 3.767
Rb 3.767 0.000 3.767
Rb 3.767 3.767 0.000
Cd 1.883 1.883 1.883
Cd 1.883 1.883 5.650
Cd 1.883 5.650 1.883
Cd 1.883 5.650 5.650
Cd 5.650 1.883 1.883
Cd 5.650 1.883 5.650
Cd 5.650 5.650 1.883
Cd 5.650 5.650 5.650
Co 0.000 0.000 3.767
Co 0.000 3.767 0.000
Co 3.767 0.000 0.000
Co 3.767 3.767 3.767
```

Properties
The value obtained for the theoretical density is 5.74 Mg/m³.

Energy ordering: model P at the bottom, the next structure 231 meV/atom above.

Model P:
Here is CdCo2Sb2 after structural relaxation from Alexandria via LeMat-Bulk. Energies are from PBE.

```
10
Lattice="4.350 0.000 0.000 0.000 4.350 0.000 0.000 0.000 10.646" Properties=species:S:1:pos:R:3 pbc="T T T"
Cd 0.000 0.000 0.000
Cd 2.175 2.175 5.323
Co 0.000 2.175 2.661
Co 0.000 2.175 7.984
Co 2.175 0.000 2.661
Co 2.175 0.000 7.984
Sb 0.000 0.000 3.889
Sb 0.000 0.000 6.757
Sb 2.175 2.175 1.434
Sb 2.175 2.175 9.212
```

Properties
The value obtained for the theoretical density is 7.81 Mg/m³.

Model Q:
Here is CdCo2Sb2 after structural relaxation from Alexandria via LeMat-Bulk. Energies are from PBE.

```
10
Lattice="4.379 0.000 0.000 0.000 4.379 0.000 0.000 0.000 10.409" Properties=species:S:1:pos:R:3 pbc="T T T"
Cd 0.000 0.000 0.000
Cd 2.190 2.190 5.205
Co 0.000 0.000 4.030
Co 0.000 0.000 6.379
Co 2.190 2.190 1.174
Co 2.190 2.190 9.235
Sb 0.000 2.190 2.602
Sb 0.000 2.190 7.807
Sb 2.190 0.000 2.602
Sb 2.190 0.000 7.807
```

Properties
The value obtained for the theoretical density is 7.88 Mg/m³.

Energy ordering: model P at the bottom, the next structure 134 meV/atom above.